[1]
The following is a DFT calculation (PBE) of a relaxed Tl2FeP crystal.

The structure belongs to space group Fm-3m (No. 225); the cell edges are 6.8298, 6.8298 and 6.8298 Å and the angles 90.00°, 90.00° and 90.00°. The inequivalent atoms are Tl at (0.2500, 0.2500, 0.2500), Fe at (0.0000, 0.0000, 0.0000) and P at (0.0000, 0.0000, 0.5000).

Its density of states at the Fermi level is 27.2 states/eV/cell. The value obtained for the raw total energy is -58.5 eV per cell. Its offset from the most stable computed form is 896 meV/atom.


[2]
The following is a DFT calculation (PBE) of a relaxed TlFe2P crystal.

The structure belongs to space group P3m1 (No. 156); the cell edges are 3.9076, 3.9076 and 5.4823 Å and the angles 90.00°, 90.00° and 120.00°. The inequivalent atoms are Tl at (0.0000, 0.0000, 0.0000), Fe at (0.0000, 0.0000, 0.4915), Fe at (0.6667, 0.3333, 0.6177) and P at (0.3333, 0.6667, 0.4938).

Its density of states at the Fermi level is 1.7 states/eV/cell. The value obtained for the raw total energy is -24.5 eV per cell.


[3]
The following is a DFT calculation (PBE) of a relaxed Tl2FeP crystal.

The structure belongs to space group Pm (No. 6); the cell edges are 4.6156, 3.2785 and 6.1300 Å and the angles 90.00°, 112.07° and 90.00°. The inequivalent atoms are Tl at (0.0000, 0.0000, 0.0000), Tl at (0.3074, 0.5000, 0.6093), Fe at (0.7459, 0.0000, 0.4836) and P at (0.6072, 0.5000, 0.2162).

Its density of states at the Fermi level is 3.0 states/eV/cell. The value obtained for the raw total energy is -17.7 eV per cell. Its offset from the most stable computed form is 135 meV/atom.


[4]
The following is a DFT calculation (PBE) of a relaxed Tl2FeP crystal.

The structure belongs to space group P2/m (No. 10); the cell edges are 4.0354, 3.7518 and 5.8959 Å and the angles 90.00°, 105.97° and 90.00°. The inequivalent atoms are Tl at (0.0022, 0.0000, 0.2513), Fe at (0.5000, 0.5000, 0.5000) and P at (0.5000, 0.5000, 0.0000).

Its density of states at the Fermi level is 4.6 states/eV/cell. The value obtained for the raw total energy is -15.8 eV per cell. Its offset from the most stable computed form is 589 meV/atom.


[5]
The following is a DFT calculation (PBE) of a relaxed TlFe2P crystal.

The structure belongs to space group Fm-3m (No. 225); the cell edges are 6.0452, 6.0452 and 6.0452 Å and the angles 90.00°, 90.00° and 90.00°. The inequivalent atoms are Tl at (0.0000, 0.0000, 0.0000), Fe at (0.2500, 0.2500, 0.2500) and P at (0.0000, 0.0000, 0.5000).

Its density of states at the Fermi level is 29.0 states/eV/cell. The value obtained for the raw total energy is -88.2 eV per cell.


[6]
The following is a DFT calculation (PBE) of a relaxed TlFe2P crystal.

The structure belongs to space group F-43m (No. 216); the cell edges are 6.3653, 6.3653 and 6.3653 Å and the angles 90.00°, 90.00° and 90.00°. The inequivalent atoms are Tl at (0.0000, 0.0000, 0.0000), Fe at (0.0000, 0.0000, 0.5000), Fe at (0.2500, 0.2500, 0.7500) and P at (0.2500, 0.2500, 0.2500).

Its density of states at the Fermi level is 14.4 states/eV/cell. The value obtained for the raw total energy is -87.1 eV per cell.


[7]
The following is a DFT calculation (PBE) of a relaxed Tl2FeP crystal.

The structure belongs to space group R-3m (No. 166, hexagonal axes); the cell edges are 3.5844, 3.5844 and 23.2752 Å and the angles 90.00°, 90.00° and 120.00°. The inequivalent atoms are Tl at (0.0000, 0.0000, 0.2481), Fe at (0.0000, 0.0000, 0.0000) and P at (0.0000, 0.0000, 0.5000).

Its density of states at the Fermi level is 11.9 states/eV/cell. The value obtained for the raw total energy is -47.6 eV per cell. Its offset from the most stable computed form is 581 meV/atom.


[8]
The following is a DFT calculation (PBE) of a relaxed Tl2FeP crystal.

The structure belongs to space group Cm (No. 8); the cell edges are 10.0346, 3.2363 and 6.0402 Å and the angles 90.00°, 117.30° and 90.00°. The inequivalent atoms are Tl at (0.0000, 0.0000, 0.0000), Tl at (0.1584, 0.0000, 0.6243), Fe at (0.3999, 0.0000, 0.5471) and P at (0.3304, 0.5000, 0.2847).

Its density of states at the Fermi level is 5.7 states/eV/cell. The value obtained for the raw total energy is -35.0 eV per cell. Its offset from the most stable computed form is 170 meV/atom.


[9]
The following is a DFT calculation (PBE) of a relaxed Tl2FeP crystal.

The structure belongs to space group P4/mmm (No. 123); the cell edges are 4.7178, 4.7178 and 3.7910 Å and the angles 90.00°, 90.00° and 90.00°. The inequivalent atoms are Tl at (0.0000, 0.5000, 0.0000), Fe at (0.0000, 0.0000, 0.5000) and P at (0.5000, 0.5000, 0.5000).

Its density of states at the Fermi level is 3.5 states/eV/cell. The value obtained for the raw total energy is -15.8 eV per cell. Its offset from the most stable computed form is 598 meV/atom.


[10]
The following is a DFT calculation (PBE) of a relaxed TlFe2P crystal.

The structure belongs to space group Imm2 (No. 44); the cell edges are 2.8962, 3.1830 and 13.3010 Å and the angles 90.00°, 90.00° and 90.00°. The inequivalent atoms are Tl at (0.0000, 0.0000, 0.0000), Fe at (0.0000, 0.0000, 0.3539), Fe at (0.0000, 0.5000, 0.6841) and P at (0.0000, 0.5000, 0.2381).

Its density of states at the Fermi level is 6.2 states/eV/cell. The value obtained for the raw total energy is -48.7 eV per cell.


[11]
The following is a DFT calculation (PBE) of a relaxed TlFe2P crystal.

The structure belongs to space group P2/m (No. 10); the cell edges are 2.9637, 2.8892 and 7.0788 Å and the angles 90.00°, 100.96° and 90.00°. The inequivalent atoms are Tl at (0.0000, 0.0000, 0.0000), Fe at (0.4285, 0.5000, 0.3326) and P at (0.0000, 0.0000, 0.5000).

Its density of states at the Fermi level is 3.0 states/eV/cell. The value obtained for the raw total energy is -24.0 eV per cell.


[12]
The following is a DFT calculation (PBE) of a relaxed TlFe2P crystal.

The structure belongs to space group P4mm (No. 99); the cell edges are 3.1015, 3.1015 and 6.6390 Å and the angles 90.00°, 90.00° and 90.00°. The inequivalent atoms are Tl at (0.0000, 0.0000, 0.0000), Fe at (0.0000, 0.0000, 0.4864), Fe at (0.5000, 0.5000, 0.2810) and P at (0.5000, 0.5000, 0.6252).

Its density of states at the Fermi level is 2.5 states/eV/cell. The value obtained for the raw total energy is -24.0 eV per cell.


[13]
The following is a DFT calculation (PBE) of a relaxed Tl2FeP crystal.

The structure belongs to space group I4/mmm (No. 139); the cell edges are 4.2318, 4.2318 and 9.7541 Å and the angles 90.00°, 90.00° and 90.00°. The inequivalent atoms are Tl at (0.0000, 0.5000, 0.2500), Fe at (0.0000, 0.0000, 0.0000) and P at (0.0000, 0.0000, 0.5000).

Its density of states at the Fermi level is 8.1 states/eV/cell. The value obtained for the raw total energy is -31.2 eV per cell. Its offset from the most stable computed form is 644 meV/atom.


[14]
The following is a DFT calculation (PBE) of a relaxed Tl2FeP crystal.

The structure belongs to space group P4mm (No. 99); the cell edges are 3.1181, 3.1181 and 8.8440 Å and the angles 90.00°, 90.00° and 90.00°. The inequivalent atoms are Tl at (0.0000, 0.0000, 0.0000), Tl at (0.5000, 0.5000, 0.3771), Fe at (0.0000, 0.0000, 0.6468) and P at (0.5000, 0.5000, 0.7257).

Its density of states at the Fermi level is 2.8 states/eV/cell. The value obtained for the raw total energy is -18.2 eV per cell. Its offset from the most stable computed form is 0 meV/atom.


[15]
The following is a DFT calculation (PBE) of a relaxed TlFe4P crystal.

The structure belongs to space group F-43m (No. 216); the cell edges are 7.0289, 7.0289 and 7.0289 Å and the angles 90.00°, 90.00° and 90.00°. The inequivalent atoms are Tl at (0.0000, 0.0000, 0.0000), Fe at (0.1250, 0.1250, 0.6250) and P at (0.2500, 0.2500, 0.2500).

Its density of states at the Fermi level is 23.6 states/eV/cell. The value obtained for the raw total energy is -155.6 eV per cell.


[16]
The following is a DFT calculation (PBE) of a relaxed TlFeP3 crystal.

The structure belongs to space group Pm-3m (No. 221); the cell edges are 4.4948, 4.4948 and 4.4948 Å and the angles 90.00°, 90.00° and 90.00°. The inequivalent atoms are Tl at (0.0000, 0.0000, 0.0000), Fe at (0.5000, 0.5000, 0.5000) and P at (0.0000, 0.5000, 0.5000).

Its density of states at the Fermi level is 6.0 states/eV/cell. The value obtained for the raw total energy is -24.6 eV per cell. Its offset from the most stable computed form is 0 meV/atom.


[17]
The following is a DFT calculation (PBE) of a relaxed TlFe2P crystal.

The structure belongs to space group P4/mmm (No. 123); the cell edges are 2.9236, 2.9236 and 6.8512 Å and the angles 90.00°, 90.00° and 90.00°. The inequivalent atoms are Tl at (0.0000, 0.0000, 0.0000), Fe at (0.5000, 0.5000, 0.3286) and P at (0.0000, 0.0000, 0.5000).

Its density of states at the Fermi level is 3.3 states/eV/cell. The value obtained for the raw total energy is -23.9 eV per cell.


[18]
The following is a DFT calculation (PBE) of a relaxed TlFe2P crystal.

The structure belongs to space group I-42d (No. 122); the cell edges are 6.6751, 6.6751 and 5.6233 Å and the angles 90.00°, 90.00° and 90.00°. The inequivalent atoms are Tl at (0.0000, 0.0000, 0.0000), Fe at (0.1700, 0.7500, 0.6250) and P at (0.0000, 0.0000, 0.5000).

Its density of states at the Fermi level is 18.5 states/eV/cell. The value obtained for the raw total energy is -92.6 eV per cell.


[19]
The following is a DFT calculation (PBE) of a relaxed Tl2FeP4 crystal.

The structure belongs to space group I4/mmm (No. 139); the cell edges are 4.2210, 4.2210 and 16.4402 Å and the angles 90.00°, 90.00° and 90.00°. The inequivalent atoms are Tl at (0.0000, 0.0000, 0.1666), Fe at (0.0000, 0.0000, 0.5000), P at (0.0000, 0.0000, 0.3550) and P at (0.0000, 0.5000, 0.0000).

Its density of states at the Fermi level is 12.8 states/eV/cell. The value obtained for the raw total energy is -64.2 eV per cell.


[20]
The following is a DFT calculation (PBE) of a relaxed TlFe2P2 crystal.

The structure belongs to space group I4/mmm (No. 139); the cell edges are 3.5383, 3.5383 and 11.4365 Å and the angles 90.00°, 90.00° and 90.00°. The inequivalent atoms are Tl at (0.0000, 0.0000, 0.0000), Fe at (0.0000, 0.0000, 0.3669) and P at (0.0000, 0.5000, 0.2500).

Its density of states at the Fermi level is 4.5 states/eV/cell. The value obtained for the raw total energy is -60.7 eV per cell.


| no. | formation energy from the elements (eV/f.u.) |
| --- | --- |
| 1 | 3.99 |
| 2 | 0.20 |
| 3 | 0.95 |
| 4 | 2.76 |
| 5 | 2.66 |
| 6 | 2.92 |
| 7 | 2.73 |
| 8 | 1.08 |
| 9 | 2.79 |
| 10 | 0.36 |
| 11 | 0.71 |
| 12 | 0.65 |
| 13 | 2.98 |
| 14 | 0.40 |
| 15 | 2.74 |
| 16 | 2.44 |
| 17 | 0.77 |
| 18 | 1.55 |
| 19 | 2.74 |
| 20 | -0.26 |